(1)
{"formula": "ZnOs2Pt", "functional": "GGA-PBE", "state": "relaxed", "lattice_angstrom": [[5.4224, -0.0011, 0.0007], [2.8924, 4.5865, -0.0007], [-3.6095, -3.2861, 2.3611]], "species": ["Os", "Os", "Pt", "Zn"], "frac_coords": [[0.4741, 0.4741, 0.0000], [0.0259, 0.0259, 0.0000], [0.7500, 0.2500, 0.5000], [0.2500, 0.7500, 0.5000]], "formation_enthalpy_0k_ev_per_atom": 0.293}

---

(2)
{"formula": "DyPu2ScP4", "functional": "GGA-PBE", "state": "relaxed", "lattice_angstrom": [[-0.3139, 0.8924, 3.8373], [-4.4569, -5.0947, 0.8202], [6.3065, -2.2822, 1.0467]], "species": ["P", "Pu", "Dy", "P", "P", "Sc", "Pu", "P"], "frac_coords": [[0.5000, 0.2417, 0.2439], [0.5000, 0.0000, 0.5000], [0.5000, 0.5000, 0.0000], [0.0000, 0.2416, 0.7512], [0.0000, 0.7584, 0.2488], [0.0000, 0.0000, 0.0000], [0.0000, 0.5000, 0.5000], [0.5000, 0.7583, 0.7561]], "formation_enthalpy_0k_ev_per_atom": -1.307}

---

(3)
{"formula": "Na4SmZr3Se8", "functional": "GGA-PBE", "state": "relaxed", "lattice_angstrom": [[7.8741, 0.0000, 0.0000], [0.0000, 8.4709, 0.4111], [-3.9371, -3.9345, 5.5711]], "species": ["Se", "Se", "Se", "Na", "Zr", "Se", "Se", "Se", "Na", "Se", "Na", "Na", "Zr", "Sm", "Zr", "Se"], "frac_coords": [[0.7415, 0.7243, 0.4831], [0.7495, 0.2695, 0.4990], [0.7298, 0.7305, 0.9803], [0.0000, 0.0000, 0.0000], [0.5000, 0.5000, 0.0000], [0.7495, 0.2695, 0.0197], [0.2702, 0.2695, 0.0197], [0.2585, 0.2757, 0.5169], [0.5000, 0.0000, 0.0000], [0.2505, 0.7305, 0.5010], [0.0000, 0.0000, 0.5000], [0.5000, 0.0000, 0.5000], [0.0000, 0.5000, 0.5000], [0.0000, 0.5000, 0.0000], [0.5000, 0.5000, 0.5000], [0.2505, 0.7305, 0.9803]], "e_form_raw_ev_per_atom": -1.38}

---

(4)
{"formula": "YZnCr", "functional": "GGA-PBE", "state": "relaxed", "lattice_angstrom": [[4.5935, 0.0000, 0.0000], [2.2968, 3.9781, 0.0000], [2.2968, 1.3260, 3.7506]], "species": ["Y", "Zn", "Cr"], "frac_coords": [[0.0000, 0.0000, 0.0000], [0.5000, 0.5000, 0.5000], [0.7500, 0.7500, 0.7500]], "formation_enthalpy_0k_ev_per_atom": 0.451}

---

(5)
{"formula": "PrCd2Pt", "functional": "GGA-PBE", "state": "relaxed", "lattice_angstrom": [[-1.0230, -2.6097, 1.5736], [2.0904, -2.2933, 0.8391], [2.0590, 3.3446, 10.1687]], "species": ["Pt", "Pr", "Cd", "Cd"], "frac_coords": [[0.5000, 0.5000, 0.5000], [0.0000, 0.0000, 0.0000], [0.1001, 0.1001, 0.6998], [0.8999, 0.8999, 0.3002]], "formation_enthalpy_0k_ev_per_atom": 0.105}

---

(6)
{"formula": "PmSiPb", "functional": "GGA-PBE", "state": "relaxed", "lattice_angstrom": [[3.8885, 0.0000, 0.0000], [0.0000, 4.4528, 0.0000], [0.0000, -2.2264, 9.0782]], "species": ["Pm", "Pb", "Si", "Pb", "Si", "Pm"], "frac_coords": [[0.7500, 0.9114, 0.8227], [0.7500, 0.2777, 0.5554], [0.2500, 0.4598, 0.9196], [0.2500, 0.7223, 0.4446], [0.7500, 0.5402, 0.0804], [0.2500, 0.0886, 0.1773]], "e_above_lowest_polymorph_mev_per_atom": 52, "e_form_raw_ev_per_atom": -0.47}

---

(7)
{"formula": "Ac2Tb5Pr3", "functional": "GGA-PBE", "state": "relaxed", "lattice_angstrom": [[9.8817, 2.6321, -4.9582], [1.4007, 8.9589, -4.6242], [-3.1783, -2.8360, 11.2709]], "species": ["Pr", "Ac", "Tb", "Tb", "Tb", "Tb", "Pr", "Tb", "Tb", "Tb", "Ac", "Pr", "Pr", "Tb", "Pr", "Pr", "Tb", "Ac", "Tb", "Ac"], "frac_coords": [[0.2841, 0.5370, 0.7501], [0.8091, 0.9613, 0.7327], [0.8097, 0.5870, 0.7514], [0.9881, 0.7381, 0.4763], [0.5333, 0.2833, 0.5666], [0.1903, 0.4130, 0.2486], [0.7713, 0.0213, 0.0426], [0.7469, 0.4969, 0.9938], [0.2531, 0.5031, 0.0062], [0.4417, 0.1644, 0.7514], [0.4236, 0.7714, 0.7327], [0.9660, 0.2131, 0.7501], [0.2287, 0.9787, 0.9574], [0.0119, 0.2619, 0.5237], [0.7159, 0.4630, 0.2499], [0.0340, 0.7869, 0.2499], [0.5583, 0.8356, 0.2486], [0.5764, 0.2286, 0.2673], [0.4667, 0.7167, 0.4334], [0.1909, 0.0387, 0.2673]], "formation_enthalpy_0k_ev_per_atom": 0.211}

---

(8)
{"formula": "ScOsSeBr2", "functional": "GGA-PBE", "state": "relaxed", "lattice_angstrom": [[5.2468, 0.0000, 0.0000], [0.0000, 5.2468, 0.0000], [0.0000, 0.0000, 5.2501]], "species": ["Se", "Os", "Br", "Br", "Sc"], "frac_coords": [[0.0000, 0.0000, 0.5000], [0.5000, 0.5000, 0.5000], [0.0000, 0.5000, 0.0000], [0.5000, 0.0000, 0.0000], [0.0000, 0.0000, 0.0000]], "e_above_lowest_polymorph_mev_per_atom": 107, "e_form_raw_ev_per_atom": 0.44}

---

(9)
{"formula": "NaGe", "functional": "GGA-PBE", "state": "relaxed", "lattice_angstrom": [[-1.9725, 5.7386, -2.6686], [-4.6932, -5.7462, -8.8878], [-11.3452, -3.2961, 1.2978]], "species": ["Ge", "Ge", "Ge", "Na", "Na", "Ge", "Ge", "Na", "Na", "Ge", "Ge", "Ge", "Na", "Na", "Na", "Ge", "Ge", "Ge", "Na", "Ge", "Na", "Na", "Ge", "Na", "Ge", "Na", "Na", "Ge", "Na", "Na", "Na", "Ge"], "frac_coords": [[0.4621, 0.5906, 0.6683], [0.4854, 0.3418, 0.8073], [0.6977, 0.9747, 0.6812], [0.3061, 0.8932, 0.6005], [0.8558, 0.4535, 0.1414], [0.0146, 0.8418, 0.8073], [0.3023, 0.0253, 0.3188], [0.6939, 0.1068, 0.3995], [0.9391, 0.2351, 0.9070], [0.9854, 0.1582, 0.1927], [0.0379, 0.0906, 0.6683], [0.1731, 0.0037, 0.1245], [0.1939, 0.3932, 0.6005], [0.1726, 0.2363, 0.3901], [0.5609, 0.7351, 0.9070], [0.8023, 0.4747, 0.6812], [0.5146, 0.6582, 0.1927], [0.5379, 0.4094, 0.3317], [0.3558, 0.0465, 0.8586], [0.8269, 0.9963, 0.8755], [0.3274, 0.7363, 0.3901], [0.1442, 0.5465, 0.8586], [0.3269, 0.5037, 0.1245], [0.8061, 0.6068, 0.3995], [0.6731, 0.4963, 0.8755], [0.8274, 0.7637, 0.6099], [0.0609, 0.7649, 0.0930], [0.9621, 0.9094, 0.3317], [0.6442, 0.9535, 0.1414], [0.4391, 0.2649, 0.0930], [0.6726, 0.2637, 0.6099], [0.1977, 0.5253, 0.3188]], "formation_enthalpy_0k_ev_per_atom": -0.159}

---

(10)
{"formula": "PmNd2SmSc", "functional": "GGA-PBE", "state": "relaxed", "lattice_angstrom": [[-0.9354, -5.3376, -3.7575], [7.2386, -2.6944, 2.0255], [-2.5065, -3.0273, 4.9243]], "species": ["Sm", "Pm", "Pm", "Nd", "Sc", "Nd", "Sm", "Nd", "Nd", "Sc"], "frac_coords": [[0.3136, 0.5000, 0.7500], [0.4135, 0.0000, 0.7500], [0.5865, 0.0000, 0.2500], [0.7899, 0.7031, 0.7502], [0.0000, 0.0000, 0.5000], [0.2101, 0.7031, 0.2502], [0.6864, 0.5000, 0.2500], [0.2101, 0.2969, 0.2498], [0.7899, 0.2969, 0.7498], [0.0000, 0.0000, 0.0000]], "formation_enthalpy_0k_ev_per_atom": 0.192}

---

(11)
{"formula": "Li2WAu", "functional": "GGA-PBE", "state": "relaxed", "lattice_angstrom": [[-0.7714, 4.8273, 1.1235], [0.5798, 1.0169, 4.8775], [2.7695, -2.3953, -3.4282]], "species": ["Au", "W", "Li", "Li"], "frac_coords": [[0.7500, 0.2500, 0.5000], [0.2500, 0.7500, 0.5000], [0.0000, 0.0000, 0.0000], [0.5000, 0.5000, 0.0000]], "e_above_lowest_polymorph_mev_per_atom": 442, "formation_enthalpy_0k_ev_per_atom": 0.534}

---

(12)
{"formula": "Hf4Sn", "functional": "GGA-PBE", "state": "relaxed", "lattice_angstrom": [[5.1983, 0.0000, 0.0000], [0.0000, 5.1983, 0.0000], [0.0000, 0.0000, 5.1983]], "species": ["Hf", "Hf", "Hf", "Sn", "Hf"], "frac_coords": [[0.0000, 0.0000, 0.0000], [0.0000, 0.5000, 0.5000], [0.5000, 0.5000, 0.0000], [0.5000, 0.5000, 0.5000], [0.5000, 0.0000, 0.5000]], "e_above_lowest_polymorph_mev_per_atom": 1180, "formation_enthalpy_0k_ev_per_atom": 1.093}

---

(13)
{"formula": "AcPmLuIn", "functional": "GGA-PBE", "state": "relaxed", "lattice_angstrom": [[5.6161, 0.0000, 0.0000], [2.8080, 4.8636, 0.0000], [2.8080, 1.6212, 4.5855]], "species": ["Lu", "Ac", "In", "Pm"], "frac_coords": [[0.5000, 0.5000, 0.5000], [0.2500, 0.2500, 0.2500], [0.7500, 0.7500, 0.7500], [0.0000, 0.0000, 0.0000]], "formation_enthalpy_0k_ev_per_atom": -0.025}

---

(14)
{"formula": "BaNi2B", "functional": "GGA-PBE", "state": "relaxed", "lattice_angstrom": [[-3.4049, 2.8501, -2.0567], [-2.2231, -3.9643, -1.8133], [-6.3460, -0.9818, 3.3239]], "species": ["Ni", "B", "Ni", "B", "Ni", "Ba", "Ni", "Ba"], "frac_coords": [[0.3750, 0.6250, 0.2500], [0.2500, 0.7500, 0.5000], [0.3750, 0.6250, 0.7500], [0.5000, 0.5000, 0.0000], [0.3750, 0.1250, 0.2500], [0.0000, 0.0000, 0.0000], [0.8750, 0.6250, 0.7500], [0.7500, 0.2500, 0.5000]], "formation_enthalpy_0k_ev_per_atom": 0.033}

---

(15)
{"formula": "Ac5La6Ho2", "functional": "GGA-PBE", "state": "relaxed", "lattice_angstrom": [[-3.6578, 0.2987, 1.0766], [3.3147, -1.0800, 11.5612], [2.2306, 22.1628, 1.4307]], "species": ["Ac", "La", "Ac", "La", "Ho", "Ac", "Ac", "Ac", "Ac", "La", "Ac", "Ac", "La", "Ho", "Ho", "La", "La", "Ac", "Ho", "La", "La", "Ac", "La", "La", "La", "La"], "frac_coords": [[0.5000, 0.3088, 0.4195], [0.5000, 0.6859, 0.8687], [0.5000, 0.9468, 0.7897], [0.0000, 0.0870, 0.0622], [0.0000, 0.2938, 0.2680], [0.5000, 0.0000, 0.5000], [0.5000, 0.1912, 0.9195], [0.5000, 0.8088, 0.0805], [0.5000, 0.5000, 0.0000], [0.0000, 0.5870, 0.4378], [0.5000, 0.0532, 0.2103], [0.5000, 0.6912, 0.5805], [0.0000, 0.5574, 0.1446], [0.0000, 0.2062, 0.7680], [0.0000, 0.7062, 0.7320], [0.0000, 0.4130, 0.5622], [0.0000, 0.4426, 0.8554], [0.5000, 0.4468, 0.7103], [0.0000, 0.7938, 0.2320], [0.0000, 0.9130, 0.9378], [0.0000, 0.9426, 0.6446], [0.5000, 0.5532, 0.2897], [0.0000, 0.0574, 0.3554], [0.5000, 0.8141, 0.3687], [0.5000, 0.1859, 0.6313], [0.5000, 0.3141, 0.1313]], "formation_enthalpy_0k_ev_per_atom": 0.088}

---

(16)
{"formula": "Sm6Er12Th", "functional": "GGA-PBE", "state": "relaxed", "lattice_angstrom": [[-7.3932, -4.0920, -1.9822], [0.5565, -2.0696, 8.4107], [-3.0160, 8.1058, 0.7296]], "species": ["Er", "Sm", "Er", "Er", "Er", "Er", "Er", "Er", "Er", "Er", "Sm", "Sm", "Er", "Er", "Sm", "Er", "Sm", "Sm", "Th"], "frac_coords": [[0.6513, 0.9222, 0.6513], [0.1017, 0.6582, 0.1017], [0.5000, 0.7561, 0.2439], [0.2439, 0.7561, 0.5000], [0.7561, 0.5000, 0.2439], [0.2439, 0.5000, 0.7561], [0.9222, 0.6513, 0.6513], [0.0778, 0.3487, 0.3487], [0.6513, 0.6513, 0.9222], [0.3487, 0.3487, 0.0778], [0.3418, 0.8983, 0.8983], [0.8983, 0.8983, 0.3418], [0.5000, 0.2439, 0.7561], [0.3487, 0.0778, 0.3487], [0.8983, 0.3418, 0.8983], [0.7561, 0.2439, 0.5000], [0.1017, 0.1017, 0.6582], [0.6582, 0.1017, 0.1017], [0.0000, 0.0000, 0.0000]], "e_above_lowest_polymorph_mev_per_atom": 73, "formation_enthalpy_0k_ev_per_atom": 0.225}

---

(17)
{"formula": "GaCl2F", "functional": "GGA-PBE", "state": "relaxed", "lattice_angstrom": [[0.0000, 3.1271, 3.1271], [3.1271, 0.0000, 3.1271], [3.1271, 3.1271, 0.0000]], "species": ["F", "Cl", "Cl", "Ga"], "frac_coords": [[0.0000, 0.0000, 0.0000], [0.7500, 0.7500, 0.7500], [0.2500, 0.2500, 0.2500], [0.5000, 0.5000, 0.5000]], "e_above_lowest_polymorph_mev_per_atom": 1102, "e_form_raw_ev_per_atom": -0.49}

---

(18)
{"formula": "Ac2CeZn", "functional": "GGA-PBE", "state": "relaxed", "lattice_angstrom": [[3.7279, 0.0000, 0.0000], [1.8639, 3.2284, 0.0000], [1.8639, 1.0761, 12.0404]], "species": ["Ce", "Ac", "Zn", "Ac"], "frac_coords": [[0.0000, 0.0000, 0.0000], [0.0994, 0.0994, 0.7019], [0.5000, 0.5000, 0.5000], [0.9006, 0.9006, 0.2981]], "e_above_lowest_polymorph_mev_per_atom": 299, "formation_enthalpy_0k_ev_per_atom": 0.275}

---

(19)
{"formula": "YUMnC3", "functional": "GGA-PBE", "state": "relaxed", "lattice_angstrom": [[3.4955, 0.0000, 0.0000], [0.0000, 6.9825, 1.0543], [0.0000, -1.6050, 7.1360]], "species": ["Mn", "U", "C", "C", "Mn", "C", "Y", "C", "U", "Y", "C", "C"], "frac_coords": [[0.2500, 0.0936, 0.5844], [0.7500, 0.3647, 0.8201], [0.2500, 0.5841, 0.8706], [0.7500, 0.8620, 0.1578], [0.7500, 0.9064, 0.4156], [0.7500, 0.4159, 0.1294], [0.7500, 0.8523, 0.8228], [0.7500, 0.1598, 0.5181], [0.2500, 0.6353, 0.1799], [0.2500, 0.1477, 0.1772], [0.2500, 0.1380, 0.8422], [0.2500, 0.8402, 0.4819]], "formation_enthalpy_0k_ev_per_atom": -0.080}

---

(20)
{"formula": "PmThNiAs", "functional": "GGA-PBE", "state": "relaxed", "lattice_angstrom": [[5.0626, 0.0000, 0.0000], [2.5313, 4.3844, 0.0000], [2.5313, 1.4615, 4.1336]], "species": ["Pm", "Th", "As", "Ni"], "frac_coords": [[0.2500, 0.2500, 0.2500], [0.7500, 0.7500, 0.7500], [0.5000, 0.5000, 0.5000], [0.0000, 0.0000, 0.0000]], "formation_enthalpy_0k_ev_per_atom": -0.524}

---

| no. | final energy (eV/atom) | calculated density (g cm⁻³) |
| --- | --- | --- |
| 1 | -7.1506 | 18.13 |
| 2 | -8.9614 | 7.90 |
| 3 | -5.3490 | 4.96 |
| 4 | -5.3364 | 5.00 |
| 5 | -3.0580 | 9.69 |
| 6 | -5.0952 | 8.03 |
| 7 | -4.3594 | 7.46 |
| 8 | -4.4341 | 5.45 |
| 9 | -3.1274 | 3.10 |
| 10 | -4.8758 | 6.29 |
| 11 | -4.4810 | 10.28 |
| 12 | -7.6705 | 9.84 |
| 13 | -4.0543 | 8.77 |
| 14 | -5.0074 | 5.80 |
| 15 | -4.4702 | 7.40 |
| 16 | -4.5376 | 8.36 |
| 17 | -2.6361 | 4.33 |
| 18 | -3.5807 | 7.56 |
| 19 | -9.1789 | 7.71 |
| 20 | -6.1744 | 9.24 |